# PBE Li2UPdS4, relaxed
data_Li2UPdS4
_cell_length_a 3.764
_cell_length_b 12.705
_cell_length_c 12.298
_cell_angle_alpha 90.00
_cell_angle_beta 90.00
_cell_angle_gamma 90.00
_space_group_name_H-M_alt 'C m c m'
_space_group_IT_number 63
_space_group_name_Hall '-C 2c 2'
loop_
_atom_site_label
_atom_site_type_symbol
_atom_site_fract_x
_atom_site_fract_y
_atom_site_fract_z
_atom_site_occupancy
Li1 Li 0.000 0.103 0.055 1
U1 U 0.000 0.400 0.250 1
Pd1 Pd 0.000 0.333 0.750 1
S1 S 0.000 0.049 0.250 1
S2 S 0.000 0.191 0.624 1
S3 S 0.000 0.500 0.000 1
# - D(E_F) (states/eV/f.u.) = 5.8
# - calculated total energy (eV per atom) = -5.596
# - total moment (μB per atom) = 0.09